No. 1
A geometry-optimized Hf2Bi2Au structure. Source: OQMD, functional PBE-GGA.

Lattice parameters (Å, degrees): 4.8529 4.8529 12.1848 90.00 90.00 90.00
Space group I4/mmm (No. 139)
Asymmetric unit:
Hf 0.0000 0.5000 0.2500 x4
Bi 0.0000 0.0000 0.1216 x4
Au 0.0000 0.0000 0.5000 x2

Computed properties:
Offset from the most stable computed form ... 0.00 eV/f.u.
Crystal system ... tetragonal

No. 2
A geometry-optimized Hf3Bi5Au structure. Source: OQMD, functional PBE-GGA.

Lattice parameters (Å, degrees): 5.9104 5.9104 8.7973 90.00 90.00 120.00
Space group P6/mmm (No. 191)
Asymmetric unit:
Hf 0.0000 0.5000 0.0000 x3
Bi 0.0000 0.0000 0.0000 x1
Bi 0.3333 0.6667 0.3024 x4
Au 0.0000 0.0000 0.5000 x1

Computed properties:
Final energy ... -52.40 eV/cell
Crystal system ... hexagonal

No. 3
A geometry-optimized HfNiBiAu structure. Source: OQMD, functional PBE-GGA.

Lattice parameters (Å, degrees): 6.7407 6.7407 6.7407 90.00 90.00 90.00
Space group F-43m (No. 216)
Asymmetric unit:
Hf 0.0000 0.0000 0.0000 x4
Ni 0.0000 0.0000 0.5000 x4
Bi 0.2500 0.2500 0.2500 x4
Au 0.2500 0.2500 0.7500 x4

Computed properties:
Final energy ... -91.51 eV/cell
Crystal system ... cubic

No. 4
A geometry-optimized HfBiOsAu structure. Source: OQMD, functional PBE-GGA.

Lattice parameters (Å, degrees): 6.8299 6.8299 6.8299 90.00 90.00 90.00
Space group F-43m (No. 216)
Asymmetric unit:
Hf 0.0000 0.0000 0.0000 x4
Bi 0.0000 0.0000 0.5000 x4
Os 0.2500 0.2500 0.2500 x4
Au 0.2500 0.2500 0.7500 x4

Computed properties:
Offset from the most stable computed form ... 0.00 eV/f.u.
Crystal system ... cubic

No. 5
A geometry-optimized HfBiOsAu structure. Source: OQMD, functional PBE-GGA.

Lattice parameters (Å, degrees): 6.7393 6.7393 6.7393 90.00 90.00 90.00
Space group F-43m (No. 216)
Asymmetric unit:
Hf 0.0000 0.0000 0.0000 x4
Bi 0.2500 0.2500 0.2500 x4
Os 0.0000 0.0000 0.5000 x4
Au 0.2500 0.2500 0.7500 x4

Computed properties:
Offset from the most stable computed form ... 0.39 eV/f.u.
Crystal system ... cubic

No. 6
A geometry-optimized HfBiOsAu structure. Source: OQMD, functional PBE-GGA.

Lattice parameters (Å, degrees): 6.8361 6.8361 6.8361 90.00 90.00 90.00
Space group F-43m (No. 216)
Asymmetric unit:
Hf 0.0000 0.0000 0.0000 x4
Bi 0.2500 0.2500 0.7500 x4
Os 0.2500 0.2500 0.2500 x4
Au 0.0000 0.0000 0.5000 x4

Computed properties:
Offset from the most stable computed form ... 0.91 eV/f.u.
Crystal system ... cubic

No. 7
A geometry-optimized Hg2BiAu structure. Source: OQMD, functional PBE-GGA.

Lattice parameters (Å, degrees): 7.3423 7.3423 7.3423 90.00 90.00 90.00
Space group F-43m (No. 216)
Asymmetric unit:
Hg 0.0000 0.0000 0.0000 x4
Hg 0.2500 0.2500 0.2500 x4
Bi 0.0000 0.0000 0.5000 x4
Au 0.2500 0.2500 0.7500 x4

Computed properties:
Final energy ... -29.07 eV/cell
Crystal system ... cubic

No. 8
A geometry-optimized NiHgBiAu structure. Source: OQMD, functional PBE-GGA.

Lattice parameters (Å, degrees): 6.8974 6.8974 6.8974 90.00 90.00 90.00
Space group F-43m (No. 216)
Asymmetric unit:
Ni 0.0000 0.0000 0.0000 x4
Hg 0.0000 0.0000 0.5000 x4
Bi 0.2500 0.2500 0.2500 x4
Au 0.2500 0.2500 0.7500 x4

Computed properties:
Offset from the most stable computed form ... 0.31 eV/f.u.
Crystal system ... cubic

No. 9
A geometry-optimized NiHgBiAu structure. Source: OQMD, functional PBE-GGA.

Lattice parameters (Å, degrees): 6.8817 6.8817 6.8817 90.00 90.00 90.00
Space group F-43m (No. 216)
Asymmetric unit:
Ni 0.0000 0.0000 0.0000 x4
Hg 0.2500 0.2500 0.2500 x4
Bi 0.2500 0.2500 0.7500 x4
Au 0.0000 0.0000 0.5000 x4

Computed properties:
Offset from the most stable computed form ... 0.00 eV/f.u.
Crystal system ... cubic

No. 10
A geometry-optimized HoBiAu2 structure. Source: OQMD, functional PBE-GGA.

Lattice parameters (Å, degrees): 4.5663 3.7890 11.1230 90.00 90.00 90.00
Space group Amm2 (No. 38)
Asymmetric unit:
Ho 0.0000 0.0000 0.0000 x2
Bi 0.5000 0.0000 0.7081 x2
Au 0.0000 0.0000 0.2808 x2
Au 0.5000 0.0000 0.4419 x2

Computed properties:
Final energy ... -34.35 eV/cell
Crystal system ... orthorhombic

No. 11
A geometry-optimized LaHoBi4Au2 structure. Source: OQMD, functional PBE-GGA.

Lattice parameters (Å, degrees): 4.6570 4.6570 10.0000 90.00 90.00 90.00
Space group P4mm (No. 99)
Asymmetric unit:
La 0.0000 0.0000 0.0000 x1
Ho 0.5000 0.5000 0.5361 x1
Bi 0.0000 0.0000 0.5630 x1
Bi 0.0000 0.5000 0.2715 x2
Bi 0.5000 0.5000 0.9496 x1
Au 0.0000 0.5000 0.7522 x2

Computed properties:
Final energy ... -36.84 eV/cell
Crystal system ... tetragonal

No. 12
A geometry-optimized PrHoBi4Au2 structure. Source: OQMD, functional PBE-GGA.

Lattice parameters (Å, degrees): 4.6325 4.6325 9.9866 90.00 90.00 90.00
Space group P4mm (No. 99)
Asymmetric unit:
Pr 0.0000 0.0000 0.0000 x1
Ho 0.5000 0.5000 0.5352 x1
Bi 0.0000 0.0000 0.5640 x1
Bi 0.0000 0.5000 0.2707 x2
Bi 0.5000 0.5000 0.9532 x1
Au 0.0000 0.5000 0.7543 x2

Computed properties:
Final energy ... -36.44 eV/cell
Crystal system ... tetragonal